No. 1
PmYAl2: relaxed, PBE-GGA.

Calculated values
Raw total energy   -5.072 eV per atom
DFT formation energy   -153 kJ/mol of formula units
Offset from the most stable computed form   0.000 eV/atom

a = 3.652 Å, b = 3.652 Å, c = 7.302 Å
α = 90.00°, β = 90.00°, γ = 90.00°
Space group P4/mmm (No. 123)
Unique sites:
Pm 0.000 0.000 0.000
Y 0.000 0.000 0.500
Al 0.500 0.500 0.261



No. 2
NbRePb2O8: relaxed, PBE-GGA.

Calculated values
Uncorrected formation energy   -1544.1 meV per atom
Raw total energy   -7.344 eV per atom

a = 5.364 Å, b = 6.344 Å, c = 5.405 Å
α = 90.00°, β = 90.99°, γ = 90.00°
Space group P2/m (No. 10)
Unique sites:
Nb 0.000 0.000 0.000
Re 0.000 0.500 0.000
Pb 0.500 0.250 0.500
O 0.171 0.265 0.838
O 0.238 0.500 0.248
O 0.253 0.000 0.261



No. 3
Y2TlSe: relaxed, PBE-GGA.

Calculated values
Uncorrected formation energy   -889.8 meV per atom
Raw total energy   -5.585 eV per atom
Offset from the most stable computed form   0.187 eV/atom

a = 3.531 Å, b = 3.527 Å, c = 8.071 Å
α = 90.00°, β = 90.17°, γ = 90.00°
Space group P2/m (No. 10)
Unique sites:
Y 0.002 0.000 0.272
Tl 0.500 0.500 0.000
Se 0.500 0.500 0.500



Q: Which of these has the highest raw total energy?
A: PmYAl2